Record 1
Below is crystalline Rb3TbTm2Te6 at its relaxed geometry, with properties calculated at the GGA-PBE level.

Properties
SG: C2/m
Raw formation energy, eV/atom: -1.368
Calculated total energy, eV for the cell shown: -51.7

```
Rb3TbTm2Te6
1.0
3.8993 -6.7542 0.0000
3.8993 6.7542 0.0000
-2.5988 0.0000 8.5472
Rb Tb Tm Te
3 1 2 6
Cartesian
0.0000 0.0000 0.0000
3.8993 2.2383 0.0000
3.8993 -2.2383 0.0000
2.5999 0.0000 4.2736
2.5999 4.5013 4.2736
2.5999 -4.5013 4.2736
1.2851 2.2766 2.5816
-0.0292 0.0000 5.9630
1.2851 -2.2766 2.5816
3.9147 2.2766 5.9656
5.2290 0.0000 2.5842
3.9147 -2.2766 5.9656
```


Record 2
Below is crystalline K2InOs at its relaxed geometry, with properties calculated at the GGA-PBE level.

Properties
SG: C2/m
Energy of formation, meV per atom: 569
Calculated total energy, eV for the cell shown: -13.9

```
K2InOs
1.0
10.2590 -1.5656 0.0000
10.2590 1.5656 0.0000
-0.9520 0.0000 4.3430
K In Os
2 1 1
Cartesian
2.8629 0.0000 0.6298
16.7031 0.0000 3.7132
-0.4760 0.0000 2.1715
10.2590 0.0000 0.0000
```


Question: Among the records above, which one has the lowest calculated total energy?
Answer: Rb3TbTm2Te6


Question: Look up the calculated total energy of the second one.
Answer: -13.9 eV for the cell shown